1.
! Bi2BPd6, optimized geometry, DFT PBE; values from VASP
&SYSTEM
  ibrav = 0, nat = 9, ntyp = 3
/
ATOMIC_SPECIES
Pd 106.42 Pd.upf
Bi 208.98 Bi.upf
B 10.81 B.upf
CELL_PARAMETERS angstrom
5.197 0.000 3.001
1.732 4.900 3.001
0.000 0.000 6.001
ATOMIC_POSITIONS crystal
Pd 0.748 0.252 0.748
Pd 0.748 0.252 0.252
Pd 0.748 0.748 0.252
Pd 0.252 0.748 0.748
Pd 0.252 0.748 0.252
Pd 0.252 0.252 0.748
Bi 0.750 0.750 0.750
Bi 0.250 0.250 0.250
B 0.000 0.000 0.000
! Energy of formation from the pure elements ... -0.250 eV/atom
! Excess energy over the best structure of this formula in the dataset ... 0 meV/atom
! ρ ... 11.60 g cm⁻³

2.
! Bi5B2Pd12, optimized geometry, DFT PBE; values from VASP
&SYSTEM
  ibrav = 0, nat = 19, ntyp = 3
/
ATOMIC_SPECIES
Pd 106.42 Pd.upf
B 10.81 B.upf
Bi 208.98 Bi.upf
CELL_PARAMETERS angstrom
-5.020 -1.331 -2.655
2.092 -6.002 5.460
-4.144 4.298 5.681
ATOMIC_POSITIONS crystal
Pd 0.372 0.249 0.111
Pd 0.473 0.946 0.181
Pd 0.389 0.284 0.624
Pd 0.527 0.054 0.819
Pd 0.877 0.249 0.111
Pd 0.037 0.075 0.839
Pd 0.611 0.716 0.376
Pd 0.628 0.751 0.889
Pd 0.105 0.716 0.376
Pd 0.895 0.284 0.624
Pd 0.963 0.925 0.161
Pd 0.123 0.751 0.889
B 0.741 0.000 0.000
B 0.259 0.000 0.000
Bi 0.000 0.000 0.500
Bi 0.281 0.563 0.118
Bi 0.702 0.404 0.370
Bi 0.298 0.596 0.630
Bi 0.719 0.437 0.882
! Energy of formation from the pure elements ... -0.157 eV/atom
! ρ ... 10.32 g cm⁻³

Number 1: total moment 0.000 μB per formula unit. Number 2: total moment 0.000 μB per formula unit.